Entry 1:
First-principles (GGA-PBE) data for a relaxed structure of Y2MgNi3Ge4, as listed in the Alexandria database.

Lattice parameters (Å, degrees): 4.0757 4.0757 10.3560 90.00 90.00 90.00
With the nearest neighbours (Å) after each atom.
Fractional coordinates of all 10 atoms:
Y 0.0000 0.5000 0.2368  8 Ge 3.10-3.19, 6 Ni 3.13-3.40, 2 Mg 3.40
Y 0.5000 0.0000 0.7632  8 Ge 3.10-3.19, 6 Ni 3.13-3.40, 2 Mg 3.40
Mg 0.0000 0.0000 0.5000  4 Ge 2.59, 4 Ni 2.88
Ni 0.0000 0.5000 0.8799  5 Ge 2.34-2.39
Ni 0.5000 0.0000 0.1201  5 Ge 2.34-2.39
Ni 0.5000 0.5000 0.5000  4 Ge 2.59, 4 Mg 2.88
Ge 0.0000 0.0000 0.0000  4 Ni 2.39
Ge 0.0000 0.5000 0.6539  3 Ni 2.34-2.59, 2 Mg 2.59
Ge 0.5000 0.0000 0.3461  3 Ni 2.34-2.59, 2 Mg 2.59
Ge 0.5000 0.5000 0.0000  4 Ni 2.39

## Properties
E_tot = -56.672 eV per cell
N(E_F) = 3.81 states/eV/f.u.

Entry 2:
First-principles (GGA-PBE) data for a relaxed structure of Tb3Er2Sb2, as listed in the Alexandria database.

Lattice parameters (Å, degrees): 12.1971 4.2214 8.4286 90.00 108.48 90.00
With the nearest neighbours (Å) after each atom.
Fractional coordinates of all 14 atoms:
Tb 0.0000 0.0000 0.0000  4 Sb 3.08
Tb 0.1252 0.0000 0.4452  3 Sb 3.21-3.25, 4 Tb 3.46-3.58, 2 Er 3.53
Tb 0.3748 0.5000 0.5548  3 Sb 3.21-3.25, 4 Tb 3.46-3.58, 2 Er 3.53
Tb 0.5000 0.5000 0.0000  4 Sb 3.08
Tb 0.6252 0.5000 0.4452  3 Sb 3.21-3.25, 4 Tb 3.46-3.58, 2 Er 3.53
Tb 0.8748 0.0000 0.5548  3 Sb 3.21-3.25, 4 Tb 3.46-3.58, 2 Er 3.53
Er 0.1321 0.5000 0.7835  3 Sb 3.10-3.30
Er 0.3679 0.0000 0.2165  3 Sb 3.10-3.30
Er 0.6321 0.0000 0.7835  3 Sb 3.10-3.30
Er 0.8679 0.5000 0.2165  3 Sb 3.10-3.30
Sb 0.1770 0.5000 0.1909  5 Tb 3.08-3.25, 3 Er 3.10-3.30
Sb 0.3230 0.0000 0.8091  5 Tb 3.08-3.25, 3 Er 3.10-3.30
Sb 0.6770 0.0000 0.1909  5 Tb 3.08-3.25, 3 Er 3.10-3.30
Sb 0.8230 0.5000 0.8091  5 Tb 3.08-3.25, 3 Er 3.10-3.30

## Properties
formation energy (no corrections) = -4.36 eV per formula unit
N(E_F) = 6.88 states/eV/f.u.

Entry 3:
First-principles (GGA-PBE) data for a relaxed structure of TaTi4Co, as listed in the Alexandria database.

Lattice parameters (Å, degrees): 4.5903 3.0458 7.2034 90.00 108.51 90.00
With the nearest neighbours (Å) after each atom.
Fractional coordinates of all 6 atoms:
Ta 0.0000 0.0000 0.0000  4 Co 2.75, 8 Ti 2.84-3.04, 2 Ta 3.05
Ti 0.1754 0.5000 0.3517  10 Ti 2.78-3.07, 2 Ta 2.84
Ti 0.3546 0.0000 0.7086  2 Co 2.51, 4 Ti 2.78-2.79
Ti 0.6454 0.0000 0.2914  2 Co 2.51, 4 Ti 2.78-2.79
Ti 0.8246 0.5000 0.6483  10 Ti 2.78-3.07, 2 Ta 2.84
Co 0.5000 0.5000 0.0000  4 Ti 2.51, 4 Ta 2.75

## Properties
E_tot = -50.905 eV per cell
N(E_F) = 8.64 states/eV/f.u.

Entry 4:
First-principles (GGA-PBE) data for a relaxed structure of Tb3Tl5, as listed in the Alexandria database.

Lattice parameters (Å, degrees): 6.5003 6.5003 10.5861 90.00 90.00 77.82
With the nearest neighbours (Å) after each atom.
Fractional coordinates of all 16 atoms:
Tb 0.1090 0.8910 0.7500  9 Tl 3.12-3.44
Tb 0.2939 0.2939 0.0000  10 Tl 3.24-3.55
Tb 0.2939 0.2939 0.5000  10 Tl 3.24-3.55
Tb 0.7061 0.7061 0.0000  10 Tl 3.24-3.55
Tb 0.7061 0.7061 0.5000  10 Tl 3.24-3.55
Tb 0.8910 0.1090 0.2500  9 Tl 3.12-3.44
Tl 0.0120 0.4323 0.7500  6 Tb 3.18-3.55, 4 Tl 3.19-3.30
Tl 0.1979 0.8021 0.0366  6 Tb 3.12-3.41, 4 Tl 3.19-3.33
Tl 0.1979 0.8021 0.4634  6 Tb 3.12-3.41, 4 Tl 3.19-3.33
Tl 0.4323 0.0120 0.2500  6 Tb 3.18-3.55, 4 Tl 3.19-3.30
Tl 0.4982 0.5018 0.2500  5 Tb 3.21-3.37, 6 Tl 3.25-3.33
Tl 0.5018 0.4982 0.7500  5 Tb 3.21-3.37, 6 Tl 3.25-3.33
Tl 0.5677 0.9880 0.7500  6 Tb 3.18-3.55, 4 Tl 3.19-3.30
Tl 0.8021 0.1979 0.5366  6 Tb 3.12-3.41, 4 Tl 3.19-3.33
Tl 0.8021 0.1979 0.9634  6 Tb 3.12-3.41, 4 Tl 3.19-3.33
Tl 0.9880 0.5677 0.2500  6 Tb 3.18-3.55, 4 Tl 3.19-3.30

## Properties
polymorph energy (0 for the lowest one) = 0.000 eV per atom
N(E_F) = 4.62 states/eV/f.u.

Entry 5:
First-principles (GGA-PBE) data for a relaxed structure of LaZn3W, as listed in the Alexandria database.

Lattice parameters (Å, degrees): 5.4694 5.4694 5.4694 90.00 90.00 90.00
With the nearest neighbours (Å) after each atom.
Fractional coordinates of all 5 atoms:
La 0.0000 0.0000 0.0000  6 Zn 2.73
Zn 0.0000 0.0000 0.5000  2 La 2.73
Zn 0.0000 0.5000 0.0000  2 La 2.73
Zn 0.5000 0.0000 0.0000  2 La 2.73
W 0.5000 0.5000 0.5000  12 Zn 3.87

## Properties
polymorph energy (0 for the lowest one) = 1.619 eV per atom
N(E_F) = 4.44 states/eV/f.u.

Entry 6:
First-principles (GGA-PBE) data for a relaxed structure of NaPr2Nd, as listed in the Alexandria database.

Lattice parameters (Å, degrees): 3.6205 3.6205 11.0318 90.00 90.00 90.00
With the nearest neighbours (Å) after each atom.
Fractional coordinates of all 4 atoms:
Na 0.0000 0.0000 0.0000  4 Na 3.62, 8 Pr 3.88
Pr 0.5000 0.5000 0.2648  4 Pr 3.62, 4 Nd 3.64, 4 Na 3.88
Pr 0.5000 0.5000 0.7352  4 Pr 3.62, 4 Nd 3.64, 4 Na 3.88
Nd 0.0000 0.0000 0.5000  4 Nd 3.62, 8 Pr 3.64

## Properties
polymorph energy (0 for the lowest one) = 0.000 eV per atom
N(E_F) = 3.56 states/eV/f.u.

Entry 7:
First-principles (GGA-PBE) data for a relaxed structure of Th5Si4Se, as listed in the Alexandria database.

Lattice parameters (Å, degrees): 11.2788 11.2788 11.2788 158.17 149.10 38.15
With the nearest neighbours (Å) after each atom.
Fractional coordinates of all 10 atoms:
Th 0.0000 0.0000 0.0000  4 Si 2.99, 2 Se 3.00
Th 0.1999 0.1999 0.0000  6 Si 3.00-3.04
Th 0.3950 0.3950 0.0000  4 Si 2.95-3.01, 2 Se 3.09
Th 0.6050 0.6050 0.0000  4 Si 2.95-3.01, 2 Se 3.09
Th 0.8001 0.8001 0.0000  6 Si 3.00-3.04
Si 0.0982 0.5982 0.5000  6 Th 2.99-3.04
Si 0.2996 0.7996 0.5000  6 Th 2.95-3.01
Si 0.7004 0.2004 0.5000  6 Th 2.95-3.01
Si 0.9018 0.4018 0.5000  6 Th 2.99-3.04
Se 0.5000 0.0000 0.5000  6 Th 3.00-3.09

## Properties
formation energy (no corrections) = -8.65 eV per formula unit
N(E_F) = 5.62 states/eV/f.u.

Entry 8:
First-principles (GGA-PBE) data for a relaxed structure of CaAl5Pt3, as listed in the Alexandria database.

Lattice parameters (Å, degrees): 6.7925 6.7925 12.7995 90.00 90.00 145.39
With the nearest neighbours (Å) after each atom.
Fractional coordinates of all 18 atoms:
Ca 0.1539 0.8461 0.7500  7 Pt 3.38-3.65, 10 Al 3.64-3.77
Ca 0.8461 0.1539 0.2500  7 Pt 3.38-3.65, 10 Al 3.64-3.77
Al 0.0000 0.0000 0.0000  4 Pt 2.54, 2 Al 2.74
Al 0.0000 0.0000 0.5000  4 Pt 2.54, 2 Al 2.74
Al 0.2013 0.7987 0.0639  4 Pt 2.45-2.71, 1 Al 2.74
Al 0.2013 0.7987 0.4361  4 Pt 2.45-2.71, 1 Al 2.74
Al 0.4398 0.5602 0.6487  4 Pt 2.54-2.59, 1 Al 2.59
Al 0.4398 0.5602 0.8513  4 Pt 2.54-2.59, 1 Al 2.59
Al 0.5602 0.4398 0.1487  4 Pt 2.54-2.59, 1 Al 2.59
Al 0.5602 0.4398 0.3513  4 Pt 2.54-2.59, 1 Al 2.59
Al 0.7987 0.2013 0.5639  4 Pt 2.45-2.71, 1 Al 2.74
Al 0.7987 0.2013 0.9361  4 Pt 2.45-2.71, 1 Al 2.74
Pt 0.1275 0.8725 0.2500  6 Al 2.55-2.57
Pt 0.3895 0.6105 0.0434  7 Al 2.45-2.71
Pt 0.3895 0.6105 0.4566  7 Al 2.45-2.71
Pt 0.6105 0.3895 0.5434  7 Al 2.45-2.71
Pt 0.6105 0.3895 0.9566  7 Al 2.45-2.71
Pt 0.8725 0.1275 0.7500  6 Al 2.55-2.57

## Properties
E_tot = -93.702 eV per cell
N(E_F) = 2.93 states/eV/f.u.

Entry 9:
First-principles (GGA-PBE) data for a relaxed structure of CeRu3C, as listed in the Alexandria database.

Lattice parameters (Å, degrees): 4.1839 4.1839 4.1839 90.00 90.00 90.00
With the nearest neighbours (Å) after each atom.
Fractional coordinates of all 5 atoms:
Ce 0.0000 0.0000 0.0000  12 Ru 2.96
Ru 0.0000 0.5000 0.5000  2 C 2.09
Ru 0.5000 0.0000 0.5000  2 C 2.09
Ru 0.5000 0.5000 0.0000  2 C 2.09
C 0.5000 0.5000 0.5000  6 Ru 2.09

## Properties
E_tot = -44.180 eV per cell
N(E_F) = 2.01 states/eV/f.u.

Entry 10:
First-principles (GGA-PBE) data for a relaxed structure of La2YCdRh, as listed in the Alexandria database.

Lattice parameters (Å, degrees): 5.4995 5.4995 5.4920 90.00 90.00 90.00
With the nearest neighbours (Å) after each atom.
Fractional coordinates of all 5 atoms:
La 0.0000 0.5000 0.0000  2 Rh 2.75
La 0.5000 0.0000 0.0000  2 Rh 2.75
Y 0.0000 0.0000 0.5000  2 Rh 2.75
Cd 0.5000 0.5000 0.5000  8 La 3.89, 4 Y 3.89
Rh 0.0000 0.0000 0.0000  2 Y 2.75, 4 La 2.75

## Properties
E_tot = -26.187 eV per cell
N(E_F) = 5.66 states/eV/f.u.

Entry 11:
First-principles (GGA-PBE) data for a relaxed structure of SeS, as listed in the Alexandria database.

Lattice parameters (Å, degrees): 10.3609 10.3609 4.4906 90.00 90.00 120.00
With the nearest neighbours (Å) after each atom.
Fractional coordinates of all 12 atoms:
Se 0.1208 0.7501 0.2500  1 S 2.10
Se 0.2499 0.3707 0.2500  1 S 2.10
Se 0.3707 0.1208 0.7500  1 S 2.10
Se 0.6293 0.8792 0.2500  1 S 2.10
Se 0.7501 0.6293 0.7500  1 S 2.10
Se 0.8792 0.2499 0.7500  1 S 2.10
S 0.0706 0.4108 0.2500  1 Se 2.10
S 0.3402 0.9294 0.2500  1 Se 2.10
S 0.4108 0.3402 0.7500  1 Se 2.10
S 0.5892 0.6598 0.2500  1 Se 2.10
S 0.6598 0.0706 0.7500  1 Se 2.10
S 0.9294 0.5892 0.7500  1 Se 2.10

## Properties
polymorph energy (0 for the lowest one) = 0.309 eV per atom
formation energy (no corrections) = 0.71 eV per formula unit
N(E_F) = 1.09 states/eV/f.u.

Entry 12:
First-principles (GGA-PBE) data for a relaxed structure of HgPtSeN2, as listed in the Alexandria database.

Lattice parameters (Å, degrees): 4.0712 4.0712 6.0577 90.00 90.00 90.00
With the nearest neighbours (Å) after each atom.
Fractional coordinates of all 5 atoms:
Hg 0.0000 0.0000 0.0000  4 N 2.04
Pt 0.5000 0.5000 0.5000  4 Se 2.88
Se 0.0000 0.0000 0.5000  4 Pt 2.88, 2 Hg 3.03
N 0.0000 0.5000 0.0000  2 Hg 2.04
N 0.5000 0.0000 0.0000  2 Hg 2.04

## Properties
polymorph energy (0 for the lowest one) = 1.102 eV per atom
formation energy (no corrections) = 10.67 eV per formula unit
N(E_F) = 3.53 states/eV/f.u.